No. 1
A plane-wave DFT calculation with PBE-GGA was carried out for a relaxed SmDy12Tm3 crystal.

* energy of formation: 20 meV/atom
* uncorrected energy: -73.040 eV per cell
* SG: P4/mmm (123)

a = 5.002 Å, b = 5.002 Å, c = 19.994 Å
α = 90.00°, β = 90.00°, γ = 90.00°
Positions (direct):
Sm1 0.000 0.000 0.000
Dy1 0.000 0.500 0.127
Dy2 0.000 0.500 0.376
Dy3 0.000 0.500 0.624
Dy4 0.000 0.500 0.873
Dy5 0.500 0.000 0.127
Dy6 0.500 0.000 0.376
Dy7 0.500 0.000 0.624
Dy8 0.500 0.000 0.873
Dy9 0.500 0.500 0.000
Dy10 0.500 0.500 0.252
Dy11 0.500 0.500 0.500
Dy12 0.500 0.500 0.748
Tm1 0.000 0.000 0.251
Tm2 0.000 0.000 0.500
Tm3 0.000 0.000 0.749

No. 2
A plane-wave DFT calculation with PBE-GGA was carried out for a relaxed Sm4Dy9Tm11 crystal.

* energy of formation: 56 meV/atom
* uncorrected energy: -108.132 eV per cell
* SG: Cmmm (65)

a = 14.609 Å, b = 14.609 Å, c = 3.511 Å
α = 90.00°, β = 90.00°, γ = 92.16°
Positions (direct):
Sm1 0.049 0.222 0.000
Sm2 0.222 0.049 0.000
Sm3 0.778 0.951 0.000
Sm4 0.951 0.778 0.000
Dy1 0.000 0.000 0.000
Dy2 0.124 0.629 0.000
Dy3 0.294 0.463 0.000
Dy4 0.371 0.876 0.000
Dy5 0.463 0.294 0.000
Dy6 0.537 0.706 0.000
Dy7 0.629 0.124 0.000
Dy8 0.706 0.537 0.000
Dy9 0.876 0.371 0.000
Tm1 0.085 0.422 0.500
Tm2 0.158 0.842 0.500
Tm3 0.258 0.258 0.500
Tm4 0.331 0.669 0.500
Tm5 0.422 0.085 0.500
Tm6 0.500 0.500 0.500
Tm7 0.578 0.915 0.500
Tm8 0.669 0.331 0.500
Tm9 0.742 0.742 0.500
Tm10 0.842 0.158 0.500
Tm11 0.915 0.578 0.500

No. 3
A plane-wave DFT calculation with PBE-GGA was carried out for a relaxed Sm12Dy7Tm crystal.

* energy of formation: 277 meV/atom
* uncorrected energy: -87.767 eV per cell
* SG: R-3 (148)
* ΔE to the lowest computed polymorph: 32 meV/atom

a = 8.779 Å, b = 8.779 Å, c = 8.779 Å
α = 94.36°, β = 94.36°, γ = 94.36°
Positions (direct):
Sm1 0.022 0.353 0.087
Sm2 0.087 0.022 0.353
Sm3 0.185 0.317 0.749
Sm4 0.251 0.815 0.683
Sm5 0.317 0.749 0.185
Sm6 0.353 0.087 0.022
Sm7 0.647 0.913 0.978
Sm8 0.683 0.251 0.815
Sm9 0.749 0.185 0.317
Sm10 0.815 0.683 0.251
Sm11 0.913 0.978 0.647
Sm12 0.978 0.647 0.913
Dy1 0.000 0.000 0.000
Dy2 0.151 0.480 0.417
Dy3 0.417 0.151 0.480
Dy4 0.480 0.417 0.151
Dy5 0.520 0.583 0.849
Dy6 0.583 0.849 0.520
Dy7 0.849 0.520 0.583
Tm1 0.500 0.500 0.500

No. 4
A plane-wave DFT calculation with PBE-GGA was carried out for a relaxed Sm3DyTm6 crystal.

* energy of formation: 170 meV/atom
* uncorrected energy: -43.891 eV per cell
* SG: P-1 (2)
* ΔE to the lowest computed polymorph: 19 meV/atom

a = 6.469 Å, b = 6.478 Å, c = 9.440 Å
α = 89.96°, β = 70.33°, γ = 60.32°
Positions (direct):
Sm1 0.000 0.000 0.000
Sm2 0.301 0.558 0.691
Sm3 0.699 0.442 0.309
Dy1 0.000 0.500 0.500
Tm1 0.126 0.868 0.313
Tm2 0.304 0.349 0.051
Tm3 0.448 0.991 0.687
Tm4 0.552 0.009 0.313
Tm5 0.696 0.651 0.949
Tm6 0.874 0.132 0.687

No. 5
A plane-wave DFT calculation with PBE-GGA was carried out for a relaxed Sm3Dy5Tm2 crystal.

* energy of formation: 197 meV/atom
* uncorrected energy: -88.276 eV per cell
* SG: C2/c (15)

a = 9.529 Å, b = 9.529 Å, c = 9.415 Å
α = 108.38°, β = 108.38°, γ = 111.84°
Positions (direct):
Sm1 0.018 0.266 0.045
Sm2 0.234 0.766 0.750
Sm3 0.266 0.018 0.545
Sm4 0.734 0.982 0.455
Sm5 0.766 0.234 0.250
Sm6 0.982 0.734 0.955
Dy1 0.027 0.973 0.750
Dy2 0.152 0.376 0.775
Dy3 0.272 0.728 0.250
Dy4 0.376 0.152 0.275
Dy5 0.469 0.531 0.250
Dy6 0.531 0.469 0.750
Dy7 0.624 0.848 0.725
Dy8 0.728 0.272 0.750
Dy9 0.848 0.624 0.225
Dy10 0.973 0.027 0.250
Tm1 0.229 0.463 0.453
Tm2 0.463 0.229 0.953
Tm3 0.537 0.771 0.047
Tm4 0.771 0.537 0.547

No. 6
A plane-wave DFT calculation with PBE-GGA was carried out for a relaxed Sm6Dy5Tm2 crystal.

* energy of formation: 101 meV/atom
* uncorrected energy: -117.900 eV per cell
* SG: Pbam (55)

a = 11.630 Å, b = 20.445 Å, c = 3.593 Å
α = 90.00°, β = 90.00°, γ = 90.00°
Positions (direct):
Sm1 0.061 0.081 0.000
Sm2 0.083 0.368 0.000
Sm3 0.172 0.637 0.500
Sm4 0.328 0.137 0.500
Sm5 0.417 0.868 0.000
Sm6 0.439 0.581 0.000
Sm7 0.561 0.419 0.000
Sm8 0.583 0.132 0.000
Sm9 0.672 0.863 0.500
Sm10 0.828 0.363 0.500
Sm11 0.917 0.632 0.000
Sm12 0.939 0.919 0.000
Dy1 0.000 0.500 0.500
Dy2 0.091 0.227 0.500
Dy3 0.198 0.946 0.500
Dy4 0.302 0.446 0.500
Dy5 0.409 0.727 0.500
Dy6 0.500 0.000 0.500
Dy7 0.591 0.273 0.500
Dy8 0.698 0.554 0.500
Dy9 0.802 0.054 0.500
Dy10 0.909 0.773 0.500
Tm1 0.167 0.790 0.000
Tm2 0.333 0.290 0.000
Tm3 0.667 0.710 0.000
Tm4 0.833 0.210 0.000

No. 7
A plane-wave DFT calculation with PBE-GGA was carried out for a relaxed Sm2Dy9Tm crystal.

* energy of formation: 64 meV/atom
* uncorrected energy: -54.556 eV per cell
* SG: P6/mmm (191)
* ΔE to the lowest computed polymorph: 43 meV/atom

a = 11.221 Å, b = 11.221 Å, c = 3.487 Å
α = 90.00°, β = 90.00°, γ = 120.00°
Positions (direct):
Sm1 0.333 0.667 0.000
Sm2 0.667 0.333 0.000
Dy1 0.000 0.500 0.000
Dy2 0.174 0.347 0.500
Dy3 0.174 0.826 0.500
Dy4 0.347 0.174 0.500
Dy5 0.500 0.000 0.000
Dy6 0.500 0.500 0.000
Dy7 0.653 0.826 0.500
Dy8 0.826 0.174 0.500
Dy9 0.826 0.653 0.500
Tm1 0.000 0.000 0.000

No. 8
A plane-wave DFT calculation with PBE-GGA was carried out for a relaxed SmDy3Tm crystal.

* energy of formation: 48 meV/atom
* uncorrected energy: -91.030 eV per cell
* SG: C2/c (15)
* ΔE to the lowest computed polymorph: 0 meV/atom

a = 10.056 Å, b = 10.056 Å, c = 6.539 Å
α = 100.31°, β = 100.31°, γ = 81.42°
Positions (direct):
Sm1 0.077 0.923 0.750
Sm2 0.186 0.814 0.250
Sm3 0.814 0.186 0.750
Sm4 0.923 0.077 0.250
Dy1 0.014 0.388 0.151
Dy2 0.127 0.277 0.649
Dy3 0.217 0.583 0.548
Dy4 0.277 0.127 0.149
Dy5 0.388 0.014 0.651
Dy6 0.417 0.783 0.952
Dy7 0.583 0.217 0.048
Dy8 0.612 0.986 0.349
Dy9 0.723 0.873 0.851
Dy10 0.783 0.417 0.452
Dy11 0.873 0.723 0.351
Dy12 0.986 0.612 0.849
Tm1 0.325 0.476 0.050
Tm2 0.476 0.325 0.550
Tm3 0.524 0.675 0.450
Tm4 0.675 0.524 0.950

No. 9
A plane-wave DFT calculation with PBE-GGA was carried out for a relaxed Sm4Dy8Tm crystal.

* energy of formation: 507 meV/atom
* uncorrected energy: -53.573 eV per cell
* SG: R-3m (166)

a = 7.765 Å, b = 7.765 Å, c = 7.765 Å
α = 90.09°, β = 90.09°, γ = 90.09°
Positions (direct):
Sm1 0.000 0.000 0.000
Sm2 0.000 0.500 0.500
Sm3 0.500 0.000 0.500
Sm4 0.500 0.500 0.000
Dy1 0.240 0.240 0.240
Dy2 0.240 0.240 0.759
Dy3 0.240 0.759 0.240
Dy4 0.241 0.760 0.760
Dy5 0.759 0.240 0.240
Dy6 0.760 0.241 0.760
Dy7 0.760 0.760 0.241
Dy8 0.760 0.760 0.760
Tm1 0.500 0.500 0.500

No. 10
A plane-wave DFT calculation with PBE-GGA was carried out for a relaxed Sm8DyTm2 crystal.

* energy of formation: 17 meV/atom
* uncorrected energy: -51.115 eV per cell
* SG: P-1 (2)
* ΔE to the lowest computed polymorph: 0 meV/atom

a = 6.221 Å, b = 6.222 Å, c = 9.514 Å
α = 90.05°, β = 96.33°, γ = 99.59°
Positions (direct):
Sm1 0.047 0.092 0.182
Sm2 0.136 0.274 0.545
Sm3 0.228 0.455 0.909
Sm4 0.410 0.819 0.636
Sm5 0.590 0.181 0.364
Sm6 0.772 0.545 0.091
Sm7 0.864 0.726 0.455
Sm8 0.953 0.908 0.818
Dy1 0.500 0.000 0.000
Tm1 0.318 0.637 0.272
Tm2 0.682 0.363 0.728

No. 11
A plane-wave DFT calculation with PBE-GGA was carried out for a relaxed SmDy3Tm6 crystal.

* energy of formation: 148 meV/atom
* uncorrected energy: -87.743 eV per cell
* SG: Cmc2_1 (36)
* ΔE to the lowest computed polymorph: 0 meV/atom

a = 10.849 Å, b = 10.849 Å, c = 6.129 Å
α = 90.00°, β = 90.00°, γ = 119.59°
Positions (direct):
Sm1 0.208 0.792 0.500
Sm2 0.792 0.208 0.000
Dy1 0.065 0.281 0.301
Dy2 0.281 0.065 0.801
Dy3 0.391 0.609 0.413
Dy4 0.609 0.391 0.913
Dy5 0.719 0.935 0.301
Dy6 0.935 0.719 0.801
Tm1 0.036 0.458 0.707
Tm2 0.048 0.952 0.260
Tm3 0.286 0.714 0.984
Tm4 0.288 0.383 0.871
Tm5 0.383 0.288 0.371
Tm6 0.458 0.036 0.207
Tm7 0.542 0.964 0.707
Tm8 0.617 0.712 0.871
Tm9 0.712 0.617 0.371
Tm10 0.714 0.286 0.484
Tm11 0.952 0.048 0.760
Tm12 0.964 0.542 0.207

No. 12
A plane-wave DFT calculation with PBE-GGA was carried out for a relaxed SmDy4Tm6 crystal.

* energy of formation: 122 meV/atom
* uncorrected energy: -97.238 eV per cell
* SG: Cmcm (63)
* ΔE to the lowest computed polymorph: 0 meV/atom

a = 5.566 Å, b = 5.566 Å, c = 25.471 Å
α = 90.00°, β = 90.00°, γ = 119.76°
Positions (direct):
Sm1 0.170 0.830 0.750
Sm2 0.830 0.170 0.250
Dy1 0.165 0.835 0.042
Dy2 0.165 0.835 0.458
Dy3 0.495 0.505 0.121
Dy4 0.495 0.505 0.379
Dy5 0.505 0.495 0.621
Dy6 0.505 0.495 0.879
Dy7 0.835 0.165 0.542
Dy8 0.835 0.165 0.958
Tm1 0.162 0.838 0.181
Tm2 0.162 0.838 0.319
Tm3 0.171 0.829 0.603
Tm4 0.171 0.829 0.897
Tm5 0.496 0.504 0.250
Tm6 0.500 0.500 0.000
Tm7 0.500 0.500 0.500
Tm8 0.504 0.496 0.750
Tm9 0.829 0.171 0.103
Tm10 0.829 0.171 0.397
Tm11 0.838 0.162 0.681
Tm12 0.838 0.162 0.819

No. 13
A plane-wave DFT calculation with PBE-GGA was carried out for a relaxed SmDy6Tm4 crystal.

* energy of formation: 320 meV/atom
* uncorrected energy: -46.693 eV per cell
* SG: I-42m (121)
* ΔE to the lowest computed polymorph: 196 meV/atom

a = 9.669 Å, b = 9.669 Å, c = 9.669 Å
α = 140.61°, β = 140.61°, γ = 56.93°
Positions (direct):
Sm1 0.000 0.000 0.000
Dy1 0.000 0.500 0.500
Dy2 0.014 0.640 0.000
Dy3 0.360 0.360 0.374
Dy4 0.500 0.000 0.500
Dy5 0.640 0.014 0.000
Dy6 0.986 0.986 0.626
Tm1 0.188 0.188 0.640
Tm2 0.452 0.812 0.000
Tm3 0.548 0.548 0.360
Tm4 0.812 0.452 0.000

No. 14
A plane-wave DFT calculation with PBE-GGA was carried out for a relaxed Sm2DyTm12 crystal.

* energy of formation: 109 meV/atom
* uncorrected energy: -132.122 eV per cell
* SG: C2/m (12)

a = 6.578 Å, b = 6.578 Å, c = 23.855 Å
α = 92.28°, β = 92.28°, γ = 114.82°
Positions (direct):
Sm1 0.070 0.070 0.280
Sm2 0.430 0.430 0.719
Sm3 0.570 0.570 0.281
Sm4 0.930 0.930 0.720
Dy1 0.250 0.250 0.000
Dy2 0.750 0.750 0.000
Tm1 0.034 0.034 0.134
Tm2 0.048 0.548 0.192
Tm3 0.083 0.583 0.330
Tm4 0.139 0.638 0.555
Tm5 0.143 0.143 0.573
Tm6 0.234 0.732 0.934
Tm7 0.268 0.766 0.066
Tm8 0.357 0.357 0.427
Tm9 0.362 0.861 0.445
Tm10 0.417 0.917 0.670
Tm11 0.452 0.952 0.808
Tm12 0.466 0.466 0.864
Tm13 0.534 0.534 0.136
Tm14 0.548 0.048 0.192
Tm15 0.583 0.083 0.330
Tm16 0.638 0.139 0.555
Tm17 0.643 0.643 0.573
Tm18 0.732 0.234 0.934
Tm19 0.766 0.268 0.066
Tm20 0.857 0.857 0.427
Tm21 0.861 0.362 0.445
Tm22 0.917 0.417 0.670
Tm23 0.952 0.452 0.808
Tm24 0.966 0.966 0.866

No. 15
A plane-wave DFT calculation with PBE-GGA was carried out for a relaxed Sm2Dy12Tm5 crystal.

* energy of formation: 20 meV/atom
* uncorrected energy: -86.632 eV per cell
* SG: P-1 (2)
* ΔE to the lowest computed polymorph: 0 meV/atom

a = 6.123 Å, b = 9.353 Å, c = 11.169 Å
α = 90.05°, β = 100.49°, γ = 109.06°
Positions (direct):
Sm1 0.210 0.474 0.420
Sm2 0.790 0.526 0.580
Dy1 0.053 0.368 0.104
Dy2 0.106 0.739 0.210
Dy3 0.158 0.104 0.315
Dy4 0.314 0.209 0.632
Dy5 0.369 0.579 0.739
Dy6 0.421 0.947 0.843
Dy7 0.579 0.053 0.157
Dy8 0.631 0.421 0.261
Dy9 0.686 0.791 0.368
Dy10 0.842 0.896 0.685
Dy11 0.894 0.261 0.790
Dy12 0.947 0.632 0.896
Tm1 0.000 0.000 0.000
Tm2 0.265 0.844 0.527
Tm3 0.474 0.315 0.947
Tm4 0.526 0.685 0.053
Tm5 0.735 0.156 0.473

No. 16
A plane-wave DFT calculation with PBE-GGA was carried out for a relaxed Sm6DyTm2 crystal.

* energy of formation: 63 meV/atom
* uncorrected energy: -82.578 eV per cell
* SG: C2/c (15)
* ΔE to the lowest computed polymorph: 0 meV/atom

a = 11.922 Å, b = 11.922 Å, c = 5.698 Å
α = 103.80°, β = 103.80°, γ = 48.38°
Positions (direct):
Sm1 0.003 0.166 0.317
Sm2 0.082 0.580 0.081
Sm3 0.166 0.003 0.817
Sm4 0.331 0.500 0.650
Sm5 0.420 0.918 0.419
Sm6 0.500 0.331 0.150
Sm7 0.500 0.669 0.850
Sm8 0.580 0.082 0.581
Sm9 0.669 0.500 0.350
Sm10 0.834 0.997 0.183
Sm11 0.918 0.420 0.919
Sm12 0.997 0.834 0.683
Dy1 0.251 0.749 0.250
Dy2 0.749 0.251 0.750
Tm1 0.167 0.332 0.511
Tm2 0.332 0.167 0.011
Tm3 0.668 0.833 0.989
Tm4 0.833 0.668 0.489